Run one
First-principles (PBE) data for a geometry-optimized ZrGaCoHg structure, as listed in the Open Quantum Materials Database.

The space group is F-43m (No. 216) and the conventional cell measures 6.521, 6.521 and 6.521 Å, with angles of 90.00, 90.00 and 90.00 degrees. The asymmetric unit holds Zr at (0.000, 0.000, 0.000), Ga at (0.000, 0.000, 0.500), Co at (0.250, 0.250, 0.750) and Hg at (0.250, 0.250, 0.250).

Run two
First-principles (PBE) data for a geometry-optimized ZrGaCoHg structure, as listed in the Open Quantum Materials Database.

The space group is F-43m (No. 216) and the conventional cell measures 6.496, 6.496 and 6.496 Å, with angles of 90.00, 90.00 and 90.00 degrees. The asymmetric unit holds Zr at (0.000, 0.000, 0.000), Ga at (0.250, 0.250, 0.250), Co at (0.000, 0.000, 0.500) and Hg at (0.250, 0.250, 0.750).

The data favor run two; the next most stable structure lies 30 meV per atom above it.

Run one
First-principles (PBE) data for a geometry-optimized Tm2In4Ga4Co structure, as listed in the Open Quantum Materials Database.

The space group is P4/mmm (No. 123) and the conventional cell measures 4.418, 4.418 and 11.530 Å, with angles of 90.00, 90.00 and 90.00 degrees. The asymmetric unit holds Tm at (0.000, 0.000, 0.214), In at (0.000, 0.500, 0.000), In at (0.500, 0.500, 0.207), Ga at (0.000, 0.500, 0.390) and Co at (0.000, 0.000, 0.500).

Run two
First-principles (PBE) data for a geometry-optimized Tm2In4Ga4Co structure, as listed in the Open Quantum Materials Database.

The space group is P4/mmm (No. 123) and the conventional cell measures 4.413, 4.413 and 11.635 Å, with angles of 90.00, 90.00 and 90.00 degrees. The asymmetric unit holds Tm at (0.000, 0.000, 0.174), In at (0.000, 0.500, 0.371), Ga at (0.000, 0.500, 0.000), Ga at (0.500, 0.500, 0.175) and Co at (0.000, 0.000, 0.500).

The data favor run one; the next most stable structure lies 44 meV per atom above it.

Run one
First-principles (PBE) data for a geometry-optimized KGaCo structure, as listed in the Open Quantum Materials Database.

The space group is F-43m (No. 216) and the conventional cell measures 6.457, 6.457 and 6.457 Å, with angles of 90.00, 90.00 and 90.00 degrees. The asymmetric unit holds K at (0.000, 0.000, 0.000), Ga at (0.000, 0.000, 0.500) and Co at (0.250, 0.250, 0.750).

Run two
First-principles (PBE) data for a geometry-optimized KGaCo structure, as listed in the Open Quantum Materials Database.

The space group is F-43m (No. 216) and the conventional cell measures 7.293, 7.293 and 7.293 Å, with angles of 90.00, 90.00 and 90.00 degrees. The asymmetric unit holds K at (0.000, 0.000, 0.000), Ga at (0.250, 0.250, 0.250) and Co at (0.250, 0.250, 0.750).

The data favor run one; the next most stable structure lies 596 meV per atom above it.

Run one
First-principles (PBE) data for a geometry-optimized LiGaCoSb structure, as listed in the Open Quantum Materials Database.

The space group is F-43m (No. 216) and the conventional cell measures 6.365, 6.365 and 6.365 Å, with angles of 90.00, 90.00 and 90.00 degrees. The asymmetric unit holds Li at (0.000, 0.000, 0.000), Ga at (0.000, 0.000, 0.500), Co at (0.250, 0.250, 0.750) and Sb at (0.250, 0.250, 0.250).

Run two
First-principles (PBE) data for a geometry-optimized LiGaCoSb structure, as listed in the Open Quantum Materials Database.

The space group is F-43m (No. 216) and the conventional cell measures 6.199, 6.199 and 6.199 Å, with angles of 90.00, 90.00 and 90.00 degrees. The asymmetric unit holds Li at (0.000, 0.000, 0.000), Ga at (0.250, 0.250, 0.750), Co at (0.000, 0.000, 0.500) and Sb at (0.250, 0.250, 0.250).

The data favor run two; the next most stable structure lies 379 meV per atom above it.

Run one
First-principles (PBE) data for a geometry-optimized LiZrGaCo structure, as listed in the Open Quantum Materials Database.

The space group is F-43m (No. 216) and the conventional cell measures 6.111, 6.111 and 6.111 Å, with angles of 90.00, 90.00 and 90.00 degrees. The asymmetric unit holds Li at (0.000, 0.000, 0.000), Zr at (0.250, 0.250, 0.750), Ga at (0.250, 0.250, 0.250) and Co at (0.000, 0.000, 0.500).

Run two
First-principles (PBE) data for a geometry-optimized LiZrGaCo structure, as listed in the Open Quantum Materials Database.

The space group is F-43m (No. 216) and the conventional cell measures 6.165, 6.165 and 6.165 Å, with angles of 90.00, 90.00 and 90.00 degrees. The asymmetric unit holds Li at (0.000, 0.000, 0.000), Zr at (0.250, 0.250, 0.250), Ga at (0.000, 0.000, 0.500) and Co at (0.250, 0.250, 0.750).

The data favor run one; the next most stable structure lies 244 meV per atom above it.

Run one
First-principles (PBE) data for a geometry-optimized LuGaCoMo structure, as listed in the Open Quantum Materials Database.

The space group is F-43m (No. 216) and the conventional cell measures 6.398, 6.398 and 6.398 Å, with angles of 90.00, 90.00 and 90.00 degrees. The asymmetric unit holds Lu at (0.000, 0.000, 0.000), Ga at (0.000, 0.000, 0.500), Co at (0.250, 0.250, 0.750) and Mo at (0.250, 0.250, 0.250).

Run two
First-principles (PBE) data for a geometry-optimized LuGaCoMo structure, as listed in the Open Quantum Materials Database.

The space group is F-43m (No. 216) and the conventional cell measures 6.449, 6.449 and 6.449 Å, with angles of 90.00, 90.00 and 90.00 degrees. The asymmetric unit holds Lu at (0.000, 0.000, 0.000), Ga at (0.250, 0.250, 0.250), Co at (0.000, 0.000, 0.500) and Mo at (0.250, 0.250, 0.750).

The data favor run one; the next most stable structure lies 109 meV per atom above it.

Run one
First-principles (PBE) data for a geometry-optimized LuGaCoOs structure, as listed in the Open Quantum Materials Database.

The space group is F-43m (No. 216) and the conventional cell measures 6.390, 6.390 and 6.390 Å, with angles of 90.00, 90.00 and 90.00 degrees. The asymmetric unit holds Lu at (0.000, 0.000, 0.000), Ga at (0.250, 0.250, 0.250), Co at (0.000, 0.000, 0.500) and Os at (0.250, 0.250, 0.750).

Run two
First-principles (PBE) data for a geometry-optimized LuGaCoOs structure, as listed in the Open Quantum Materials Database.

The space group is F-43m (No. 216) and the conventional cell measures 6.287, 6.287 and 6.287 Å, with angles of 90.00, 90.00 and 90.00 degrees. The asymmetric unit holds Lu at (0.000, 0.000, 0.000), Ga at (0.000, 0.000, 0.500), Co at (0.250, 0.250, 0.750) and Os at (0.250, 0.250, 0.250).

The data favor run two; the next most stable structure lies 272 meV per atom above it.

Run one
First-principles (PBE) data for a geometry-optimized LuGaCoPt structure, as listed in the Open Quantum Materials Database.

The space group is F-43m (No. 216) and the conventional cell measures 6.460, 6.460 and 6.460 Å, with angles of 90.00, 90.00 and 90.00 degrees. The asymmetric unit holds Lu at (0.000, 0.000, 0.000), Ga at (0.250, 0.250, 0.250), Co at (0.000, 0.000, 0.500) and Pt at (0.250, 0.250, 0.750).

Run two
First-principles (PBE) data for a geometry-optimized LuGaCoPt structure, as listed in the Open Quantum Materials Database.

The space group is F-43m (No. 216) and the conventional cell measures 6.374, 6.374 and 6.374 Å, with angles of 90.00, 90.00 and 90.00 degrees. The asymmetric unit holds Lu at (0.000, 0.000, 0.000), Ga at (0.000, 0.000, 0.500), Co at (0.250, 0.250, 0.750) and Pt at (0.250, 0.250, 0.250).

The data favor run two; the next most stable structure lies 240 meV per atom above it.

Run one
First-principles (PBE) data for a geometry-optimized LuGaCoRe structure, as listed in the Open Quantum Materials Database.

The space group is F-43m (No. 216) and the conventional cell measures 6.405, 6.405 and 6.405 Å, with angles of 90.00, 90.00 and 90.00 degrees. The asymmetric unit holds Lu at (0.000, 0.000, 0.000), Ga at (0.250, 0.250, 0.250), Co at (0.000, 0.000, 0.500) and Re at (0.250, 0.250, 0.750).

Run two
First-principles (PBE) data for a geometry-optimized LuGaCoRe structure, as listed in the Open Quantum Materials Database.

The space group is F-43m (No. 216) and the conventional cell measures 6.307, 6.307 and 6.307 Å, with angles of 90.00, 90.00 and 90.00 degrees. The asymmetric unit holds Lu at (0.000, 0.000, 0.000), Ga at (0.000, 0.000, 0.500), Co at (0.250, 0.250, 0.750) and Re at (0.250, 0.250, 0.250).

The data favor run two; the next most stable structure lies 141 meV per atom above it.

Run one
First-principles (PBE) data for a geometry-optimized LuZnGaCo structure, as listed in the Open Quantum Materials Database.

The space group is F-43m (No. 216) and the conventional cell measures 6.332, 6.332 and 6.332 Å, with angles of 90.00, 90.00 and 90.00 degrees. The asymmetric unit holds Lu at (0.000, 0.000, 0.000), Zn at (0.250, 0.250, 0.250), Ga at (0.000, 0.000, 0.500) and Co at (0.250, 0.250, 0.750).

Run two
First-principles (PBE) data for a geometry-optimized LuZnGaCo structure, as listed in the Open Quantum Materials Database.

The space group is F-43m (No. 216) and the conventional cell measures 6.320, 6.320 and 6.320 Å, with angles of 90.00, 90.00 and 90.00 degrees. The asymmetric unit holds Lu at (0.000, 0.000, 0.000), Zn at (0.250, 0.250, 0.750), Ga at (0.250, 0.250, 0.250) and Co at (0.000, 0.000, 0.500).

The data favor run two; the next most stable structure lies 16 meV per atom above it.

Run one
First-principles (PBE) data for a geometry-optimized MgNbGaCo structure, as listed in the Open Quantum Materials Database.

The space group is F-43m (No. 216) and the conventional cell measures 6.171, 6.171 and 6.171 Å, with angles of 90.00, 90.00 and 90.00 degrees. The asymmetric unit holds Mg at (0.000, 0.000, 0.000), Nb at (0.250, 0.250, 0.750), Ga at (0.250, 0.250, 0.250) and Co at (0.000, 0.000, 0.500).

Run two
First-principles (PBE) data for a geometry-optimized MgNbGaCo structure, as listed in the Open Quantum Materials Database.

The space group is F-43m (No. 216) and the conventional cell measures 6.250, 6.250 and 6.250 Å, with angles of 90.00, 90.00 and 90.00 degrees. The asymmetric unit holds Mg at (0.000, 0.000, 0.000), Nb at (0.250, 0.250, 0.250), Ga at (0.000, 0.000, 0.500) and Co at (0.250, 0.250, 0.750).

The data favor run one; the next most stable structure lies 150 meV per atom above it.

Run one
First-principles (PBE) data for a geometry-optimized MgGaCoW structure, as listed in the Open Quantum Materials Database.

The space group is F-43m (No. 216) and the conventional cell measures 6.134, 6.134 and 6.134 Å, with angles of 90.00, 90.00 and 90.00 degrees. The asymmetric unit holds Mg at (0.000, 0.000, 0.000), Ga at (0.250, 0.250, 0.250), Co at (0.000, 0.000, 0.500) and W at (0.250, 0.250, 0.750).

Run two
First-principles (PBE) data for a geometry-optimized MgGaCoW structure, as listed in the Open Quantum Materials Database.

The space group is F-43m (No. 216) and the conventional cell measures 6.158, 6.158 and 6.158 Å, with angles of 90.00, 90.00 and 90.00 degrees. The asymmetric unit holds Mg at (0.000, 0.000, 0.000), Ga at (0.000, 0.000, 0.500), Co at (0.250, 0.250, 0.750) and W at (0.250, 0.250, 0.250).

The data favor run one; the next most stable structure lies 71 meV per atom above it.

Run one
First-principles (PBE) data for a geometry-optimized GaCoNiMo structure, as listed in the Open Quantum Materials Database.

The space group is F-43m (No. 216) and the conventional cell measures 5.881, 5.881 and 5.881 Å, with angles of 90.00, 90.00 and 90.00 degrees. The asymmetric unit holds Ga at (0.000, 0.000, 0.000), Co at (0.250, 0.250, 0.250), Ni at (0.250, 0.250, 0.750) and Mo at (0.000, 0.000, 0.500).

Run two
First-principles (PBE) data for a geometry-optimized GaCoNiMo structure, as listed in the Open Quantum Materials Database.

The space group is F-43m (No. 216) and the conventional cell measures 5.902, 5.902 and 5.902 Å, with angles of 90.00, 90.00 and 90.00 degrees. The asymmetric unit holds Ga at (0.000, 0.000, 0.000), Co at (0.250, 0.250, 0.250), Ni at (0.000, 0.000, 0.500) and Mo at (0.250, 0.250, 0.750).

The data favor run one; the next most stable structure lies 78 meV per atom above it.

Run one
First-principles (PBE) data for a geometry-optimized YGaCoMo structure, as listed in the Open Quantum Materials Database.

The space group is F-43m (No. 216) and the conventional cell measures 6.469, 6.469 and 6.469 Å, with angles of 90.00, 90.00 and 90.00 degrees. The asymmetric unit holds Y at (0.000, 0.000, 0.000), Ga at (0.000, 0.000, 0.500), Co at (0.250, 0.250, 0.750) and Mo at (0.250, 0.250, 0.250).

Run two
First-principles (PBE) data for a geometry-optimized YGaCoMo structure, as listed in the Open Quantum Materials Database.

The space group is F-43m (No. 216) and the conventional cell measures 6.519, 6.519 and 6.519 Å, with angles of 90.00, 90.00 and 90.00 degrees. The asymmetric unit holds Y at (0.000, 0.000, 0.000), Ga at (0.250, 0.250, 0.250), Co at (0.000, 0.000, 0.500) and Mo at (0.250, 0.250, 0.750).

The data favor run one; the next most stable structure lies 105 meV per atom above it.

Run one
First-principles (PBE) data for a geometry-optimized ZnGaCoMo structure, as listed in the Open Quantum Materials Database.

The space group is F-43m (No. 216) and the conventional cell measures 6.030, 6.030 and 6.030 Å, with angles of 90.00, 90.00 and 90.00 degrees. The asymmetric unit holds Zn at (0.000, 0.000, 0.000), Ga at (0.250, 0.250, 0.250), Co at (0.000, 0.000, 0.500) and Mo at (0.250, 0.250, 0.750).

Run two
First-principles (PBE) data for a geometry-optimized ZnGaCoMo structure, as listed in the Open Quantum Materials Database.

The space group is F-43m (No. 216) and the conventional cell measures 6.039, 6.039 and 6.039 Å, with angles of 90.00, 90.00 and 90.00 degrees. The asymmetric unit holds Zn at (0.000, 0.000, 0.000), Ga at (0.000, 0.000, 0.500), Co at (0.250, 0.250, 0.750) and Mo at (0.250, 0.250, 0.250).

The data favor run two; the next most stable structure lies 15 meV per atom above it.